The following is a DFT calculation (PBE+U) of an optimized crystal structure of MgCoF3.

Computed properties:
**Energy relative to the lowest polymorph listed for this composition**: 0.368 eV/atom
**Raw total energy**: -21.084 eV per cell
**Density of states at the Fermi level**: 0.99 states/eV per atom

Cell: 4.065 4.065 4.065 Å, 90.00 90.00 90.00°
Sites, in units of the cell vectors:
1 Mg 0.000 0.000 0.000
2 Co 0.500 0.500 0.500
3 F 0.000 0.500 0.500
4 F 0.500 0.000 0.500
5 F 0.500 0.500 0.000